# MgH3Rh GGA-PBE optimized geometry
# Final energy (eV/cell): -40.66
data_MgH3Rh
_cell_length_a 3.581
_cell_length_b 4.744
_cell_length_c 5.294
_cell_angle_alpha 80.70
_cell_angle_beta 76.23
_cell_angle_gamma 84.48
_space_group_name_H-M_alt 'P 1'
_space_group_IT_number 1
loop_
_space_group_symop_operation_xyz
'x,y,z'
loop_
_atom_site_label
_atom_site_type_symbol
_atom_site_fract_x
_atom_site_fract_y
_atom_site_fract_z
Mg1 Mg 0.000 0.000 0.000
Mg2 Mg 0.216 0.576 0.522
H1 H 0.043 0.513 0.975
H2 H 0.162 0.042 0.559
H3 H 0.442 0.772 0.142
H4 H 0.591 0.270 0.259
H5 H 0.679 0.370 0.673
H6 H 0.762 0.789 0.386
Rh1 Rh 0.543 0.511 0.966
Rh2 Rh 0.659 0.051 0.562